Record 1
{
  "formula": "YFeAs2",
  "functional": "PBE",
  "state": "optimized geometry",
  "magnetic_moment_mub_per_atom": 0.6075,
  "de_polymorph_mev_per_atom": 223,
  "rho_g_cm3": 6.067,
  "n_ef_per_ev_cell": 2.698,
  "sg": "Cm (8)",
  "e_form_ev_per_atom": -0.41,
  "lattice_angstrom": [[5.677, 0.036, -0.250], [4.444, 3.532, -0.250], [1.447, 0.510, 3.982]],
  "species": ["As", "As", "Y", "Fe"],
  "frac_coords": [[0.210, 0.210, 0.292], [0.981, 0.981, 0.082], [0.765, 0.765, 0.749], [0.544, 0.544, 0.377]]
}

Record 2
{
  "formula": "YFe2As",
  "functional": "PBE",
  "state": "optimized geometry",
  "magnetic_moment_mub_per_atom": 1.1247,
  "rho_g_cm3": 6.835,
  "n_ef_per_ev_cell": 2.916,
  "sg": "I-4m2 (119)",
  "e_form_ev_per_atom": -0.01,
  "lattice_angstrom": [[-1.690, 4.169, 1.826], [-4.792, -0.107, -0.774], [2.848, -3.334, 2.085]],
  "species": ["Y", "Fe", "Fe", "As"],
  "frac_coords": [[0.500, 0.500, 0.000], [0.250, 0.750, 0.500], [0.000, 0.000, 0.000], [0.750, 0.250, 0.500]]
}

Record 3
{
  "formula": "Y2Fe2As",
  "functional": "PBE",
  "state": "optimized geometry",
  "magnetic_moment_mub_per_atom": 0.0009,
  "de_polymorph_mev_per_atom": 0,
  "rho_g_cm3": 6.627,
  "n_ef_per_ev_cell": 10.583,
  "sg": "P4/mbm (127)",
  "e_form_ev_per_atom": -0.21,
  "lattice_angstrom": [[6.542, 0.000, 0.000], [0.000, 6.542, 0.000], [0.000, 0.000, 4.267]],
  "species": ["Y", "Y", "Y", "Y", "Fe", "Fe", "Fe", "Fe", "As", "As"],
  "frac_coords": [[0.183, 0.683, 0.500], [0.817, 0.317, 0.500], [0.317, 0.183, 0.500], [0.683, 0.817, 0.500], [0.115, 0.385, 0.000], [0.385, 0.885, 0.000], [0.885, 0.615, 0.000], [0.615, 0.115, 0.000], [0.000, 0.000, 0.000], [0.500, 0.500, 0.000]]
}

Record 4
{
  "formula": "Y2FeAs",
  "functional": "PBE",
  "state": "optimized geometry",
  "magnetic_moment_mub_per_atom": 0.3356,
  "rho_g_cm3": 6.011,
  "n_ef_per_ev_cell": 4.001,
  "sg": "P4/mmm (123)",
  "e_form_ev_per_atom": -0.46,
  "lattice_angstrom": [[-2.914, 2.808, -2.626], [-0.242, -3.422, -3.390], [-2.915, -1.455, 1.677]],
  "species": ["Y", "Y", "As", "Fe"],
  "frac_coords": [[0.500, 0.500, 0.000], [0.000, 0.000, 0.000], [0.500, 0.000, 0.500], [0.000, 0.500, 0.500]]
}

Record 5
{
  "formula": "YFe2As",
  "functional": "PBE",
  "state": "optimized geometry",
  "magnetic_moment_mub_per_atom": 1.2104,
  "rho_g_cm3": 6.738,
  "n_ef_per_ev_cell": 3.909,
  "sg": "P4/mmm (123)",
  "e_form_ev_per_atom": -0.07,
  "lattice_angstrom": [[3.987, 0.000, 0.000], [0.000, 3.993, 0.000], [0.000, 0.000, 4.265]],
  "species": ["As", "Fe", "Fe", "Y"],
  "frac_coords": [[0.000, 0.500, 0.500], [0.000, 0.000, 0.000], [0.500, 0.500, 0.000], [0.500, 0.000, 0.500]]
}

Record 6
{
  "formula": "Y2FeAs",
  "functional": "PBE",
  "state": "optimized geometry",
  "magnetic_moment_mub_per_atom": 0.3164,
  "rho_g_cm3": 5.814,
  "n_ef_per_ev_cell": 4.116,
  "sg": "Cm (8)",
  "e_form_ev_per_atom": -0.45,
  "lattice_angstrom": [[6.368, 0.011, 0.008], [5.311, 3.514, 0.008], [1.389, 0.419, 3.951]],
  "species": ["Fe", "Y", "Y", "As"],
  "frac_coords": [[0.791, 0.791, 0.707], [0.017, 0.017, 0.985], [0.253, 0.253, 0.245], [0.439, 0.439, 0.564]]
}

Record 7
{
  "formula": "YFe2As2",
  "functional": "PBE",
  "state": "optimized geometry",
  "magnetic_moment_mub_per_atom": 1.0036,
  "rho_g_cm3": 6.964,
  "n_ef_per_ev_cell": 7.270,
  "sg": "P4/mbm (127)",
  "e_form_ev_per_atom": -0.19,
  "lattice_angstrom": [[-6.433, 0.106, 3.406], [0.764, -7.046, 1.664], [1.439, 0.792, 2.692]],
  "species": ["Y", "Y", "Fe", "Fe", "Fe", "Fe", "As", "As", "As", "As"],
  "frac_coords": [[0.000, 0.000, 0.000], [0.500, 0.500, 0.000], [0.386, 0.886, 0.000], [0.886, 0.614, 0.000], [0.114, 0.386, 0.000], [0.614, 0.114, 0.000], [0.828, 0.328, 0.500], [0.172, 0.672, 0.500], [0.328, 0.172, 0.500], [0.672, 0.828, 0.500]]
}

Record 8
{
  "formula": "YFe4As",
  "functional": "PBE",
  "state": "optimized geometry",
  "magnetic_moment_mub_per_atom": 1.3284,
  "rho_g_cm3": 7.374,
  "n_ef_per_ev_cell": 5.312,
  "sg": "F-43m (216)",
  "e_form_ev_per_atom": 0.01,
  "lattice_angstrom": [[-4.147, -2.706, -0.507], [-4.456, 2.204, 0.247], [-2.782, 0.455, -4.102]],
  "species": ["As", "Fe", "Fe", "Fe", "Fe", "Y"],
  "frac_coords": [[0.000, 0.000, 0.000], [0.375, 0.375, 0.876], [0.876, 0.375, 0.375], [0.375, 0.876, 0.375], [0.375, 0.375, 0.375], [0.750, 0.750, 0.750]]
}

Record 9
{
  "formula": "YFe2As",
  "functional": "PBE",
  "state": "optimized geometry",
  "magnetic_moment_mub_per_atom": 0.5876,
  "rho_g_cm3": 6.734,
  "n_ef_per_ev_cell": 2.662,
  "sg": "R3m (160)",
  "e_form_ev_per_atom": -0.43,
  "lattice_angstrom": [[3.947, 0.003, 0.003], [1.971, 3.420, 0.003], [1.967, 1.138, 5.037]],
  "species": ["Fe", "Fe", "Y", "As"],
  "frac_coords": [[0.985, 0.985, 0.044], [0.300, 0.300, 0.099], [0.504, 0.504, 0.488], [0.710, 0.710, 0.869]]
}

Record 10
{
  "formula": "YFeAs4",
  "functional": "PBE",
  "state": "optimized geometry",
  "magnetic_moment_mub_per_atom": 0.4628,
  "rho_g_cm3": 6.101,
  "n_ef_per_ev_cell": 5.298,
  "sg": "F-43m (216)",
  "e_form_ev_per_atom": 0.18,
  "lattice_angstrom": [[-4.720, -1.724, -2.359], [-3.853, 3.695, -1.522], [-0.932, 0.981, -5.384]],
  "species": ["As", "As", "As", "As", "Y", "Fe"],
  "frac_coords": [[0.376, 0.376, 0.871], [0.376, 0.871, 0.376], [0.871, 0.376, 0.376], [0.376, 0.376, 0.376], [0.000, 0.000, 0.000], [0.750, 0.750, 0.750]]
}

Record 11
{
  "formula": "Y2FeAs2",
  "functional": "PBE",
  "state": "optimized geometry",
  "magnetic_moment_mub_per_atom": 0.0000,
  "rho_g_cm3": 6.621,
  "n_ef_per_ev_cell": 3.796,
  "sg": "P4/mbm (127)",
  "e_form_ev_per_atom": -0.73,
  "lattice_angstrom": [[-1.719, 5.985, 2.119], [-1.315, -2.483, 5.948], [4.198, 0.764, 1.247]],
  "species": ["As", "As", "As", "As", "Y", "Y", "Y", "Y", "Fe", "Fe"],
  "frac_coords": [[0.647, 0.147, 0.000], [0.147, 0.353, 0.000], [0.353, 0.853, 0.000], [0.853, 0.647, 0.000], [0.827, 0.327, 0.500], [0.173, 0.673, 0.500], [0.327, 0.173, 0.500], [0.673, 0.827, 0.500], [0.500, 0.500, 0.000], [0.000, 0.000, 0.000]]
}

Record 12
{
  "formula": "Y2FeAs",
  "functional": "PBE",
  "state": "optimized geometry",
  "magnetic_moment_mub_per_atom": 0.0000,
  "rho_g_cm3": 5.742,
  "n_ef_per_ev_cell": 9.457,
  "sg": "I-42d (122)",
  "e_form_ev_per_atom": -0.03,
  "lattice_angstrom": [[-6.319, -3.670, -1.043], [1.147, 0.097, -7.291], [-0.971, -4.628, -3.951]],
  "species": ["Y", "Y", "Y", "Y", "Fe", "Fe", "As", "As"],
  "frac_coords": [[0.875, 0.847, 0.750], [0.153, 0.625, 0.250], [0.597, 0.125, 0.250], [0.375, 0.403, 0.750], [0.250, 0.750, 0.500], [0.500, 0.500, 0.000], [0.000, 0.000, 0.000], [0.750, 0.250, 0.500]]
}

Record 13
{
  "formula": "Y2FeAs",
  "functional": "PBE",
  "state": "optimized geometry",
  "magnetic_moment_mub_per_atom": 0.4283,
  "rho_g_cm3": 5.915,
  "n_ef_per_ev_cell": 3.793,
  "sg": "Pmmm (47)",
  "e_form_ev_per_atom": -0.49,
  "lattice_angstrom": [[-2.819, 2.223, -0.415], [-1.560, -2.389, -2.197], [-4.565, -5.226, 3.020]],
  "species": ["As", "Fe", "Y", "Y"],
  "frac_coords": [[0.500, 0.250, 0.250], [0.500, 0.750, 0.750], [0.000, 0.502, 0.498], [0.000, 0.998, 0.002]]
}

Record 14
{
  "formula": "YFeAs2",
  "functional": "PBE",
  "state": "optimized geometry",
  "magnetic_moment_mub_per_atom": 0.1720,
  "de_polymorph_mev_per_atom": 0,
  "rho_g_cm3": 6.689,
  "n_ef_per_ev_cell": 3.779,
  "sg": "C2/m (12)",
  "e_form_ev_per_atom": -0.63,
  "lattice_angstrom": [[-1.946, -0.898, 3.219], [-2.217, -3.168, 0.092], [3.002, -4.392, 2.927]],
  "species": ["As", "As", "Y", "Fe"],
  "frac_coords": [[0.977, 0.977, 0.068], [0.523, 0.523, 0.432], [0.750, 0.750, 0.750], [0.250, 0.250, 0.250]]
}

Record 15
{
  "formula": "YFeAs2",
  "functional": "PBE",
  "state": "optimized geometry",
  "magnetic_moment_mub_per_atom": 0.5566,
  "de_polymorph_mev_per_atom": 266,
  "rho_g_cm3": 6.416,
  "n_ef_per_ev_cell": 3.100,
  "sg": "Cmmm (65)",
  "e_form_ev_per_atom": -0.36,
  "lattice_angstrom": [[3.466, -0.015, 0.000], [-1.071, 3.296, 0.000], [0.000, 0.000, 6.683]],
  "species": ["As", "As", "Fe", "Y"],
  "frac_coords": [[0.000, 0.000, 0.458], [0.000, 0.000, 0.042], [0.500, 0.500, 0.250], [0.500, 0.500, 0.750]]
}